NaLa2Bi: relaxed, PBE-GGA.

Output
DFT formation energy: -0.146 eV per atom
DOS at the Fermi energy: 10.91 states/eV/cell
space-group type: I-42d, No. 122
crystal system: tetragonal

The structure in CIF format:
```
data_NaLa2Bi
_chemical_formula_sum 'Na2 La4 Bi2'
_symmetry_space_group_name_H-M 'P 1'
_symmetry_Int_Tables_number 1
_symmetry_space_group_name_Hall 'P 1'
_cell_length_a 9.120
_cell_length_b 9.120
_cell_length_c 7.266
_cell_angle_alpha 51.13
_cell_angle_beta 51.13
_cell_angle_gamma 90.00
loop_
_atom_site_label
_atom_site_type_symbol
_atom_site_fract_x
_atom_site_fract_y
_atom_site_fract_z
_atom_site_occupancy
Bi1 Bi 0.750 0.250 0.500 1
Bi2 Bi 0.000 0.000 0.000 1
Na1 Na 0.500 0.500 0.000 1
Na2 Na 0.250 0.750 0.500 1
La1 La 0.115 0.625 0.250 1
La2 La 0.375 0.365 0.750 1
La3 La 0.875 0.885 0.750 1
La4 La 0.635 0.125 0.250 1
```